The following is a PBE calculation of Na2CaCrH8 after structural relaxation, from the Alexandria database.

Lattice parameters (Å, degrees): 4.887 4.887 6.290 90.00 90.00 120.00
Sites, in units of the cell vectors:
Na  0.333  0.667  0.855
Na  0.667  0.333  0.145
H  0.844  0.688  0.830
H  0.156  0.844  0.170
H  0.333  0.667  0.498
H  0.312  0.156  0.830
H  0.156  0.312  0.170
H  0.688  0.844  0.170
H  0.667  0.333  0.502
H  0.844  0.156  0.830
Ca  0.000  0.000  0.500
Cr  0.000  0.000  0.000

The density of states at the Fermi level is 9.490 states/eV/cell. The value obtained for the total energy is -40.921 eV per formula unit.

---

The following is a PBE calculation of Pr3SbAs after structural relaxation, from the Alexandria database.

Lattice parameters (Å, degrees): 4.391 8.598 16.366 90.00 90.00 90.00
Sites, in units of the cell vectors:
As  0.250  0.296  0.952
As  0.250  0.796  0.548
As  0.750  0.704  0.048
As  0.750  0.204  0.452
Sb  0.750  0.378  0.697
Sb  0.250  0.122  0.197
Sb  0.250  0.622  0.303
Sb  0.750  0.878  0.803
Pr  0.750  0.336  0.287
Pr  0.250  0.664  0.713
Pr  0.750  0.145  0.045
Pr  0.750  0.511  0.893
Pr  0.250  0.489  0.107
Pr  0.750  0.645  0.455
Pr  0.250  0.355  0.545
Pr  0.250  0.855  0.955
Pr  0.250  0.164  0.787
Pr  0.750  0.836  0.213
Pr  0.750  0.011  0.607
Pr  0.250  0.989  0.393

The density of states at the Fermi level is 19.871 states/eV/cell. For the formation energy from raw total energies, the calculation gives -1.091 eV per atom. The value obtained for the total energy is -28.565 eV per formula unit.